First-principles (GGA-PBE) data for a relaxed structure of Ta2MnMoH, as listed in Alexandria.

The total energy comes out at -47.7 eV for the cell shown. As for the total magnetization: 0.8 μB per cell. For the volume, the calculation gives 65.33 Å³/f.u.

The structure belongs to space group P4/mmm (No. 123); the cell edges are 4.4496, 4.4496 and 3.2998 Å and the angles 90.00°, 90.00° and 90.00°. The distinct sites, in fractional coordinates, are Ta at (0.0000, 0.5000, 0.0000), Mn at (0.0000, 0.0000, 0.5000), Mo at (0.5000, 0.5000, 0.5000) and H at (0.0000, 0.0000, 0.0000).